(1)
The following is a PBE calculation of a geometry-optimized Zn2AgSe structure, from the Alexandria database.

Results
* SG: No. 216
* formation energy (no corrections): 0.179 eV per atom

a = 4.737 Å, b = 4.737 Å, c = 4.737 Å
α = 60.00°, β = 60.00°, γ = 60.00°
Fractional positions:
Zn  0.000  0.000  0.000
Zn  0.250  0.250  0.250
Ag  0.500  0.500  0.500
Se  0.750  0.750  0.750

---

(2)
The following is a PBE calculation of a geometry-optimized Zn2AgSe structure, from the Alexandria database.

Results
* SG: No. 6
* formation energy (no corrections): 0.003 eV per atom

a = 2.930 Å, b = 4.260 Å, c = 6.367 Å
α = 90.00°, β = 102.85°, γ = 90.00°
Fractional positions:
Zn  0.000  0.000  0.000
Zn  0.132  0.500  0.271
Ag  0.450  0.500  0.898
Se  0.248  0.000  0.509